(1)
12
Lattice="6.562 0.000 0.000 0.000 17.820 0.000 0.000 0.000 3.395" Properties=species:S:1:pos:R:3 comment="NdSmDy2Er2 (PBE, relaxed)" dft_energy_ev_per_atom=-4.36 n_ef_per_ev_cell=19.0 spacegroup="Pnnm (58)" pbc="T T T"
Nd 0.000 0.000 0.000
Nd 3.281 8.910 1.698
Sm 0.000 8.910 0.000
Sm 3.281 0.000 1.698
Dy 1.478 3.311 0.000
Dy 1.803 12.221 1.698
Dy 4.759 5.598 1.698
Dy 5.084 14.508 0.000
Er 1.467 6.250 1.698
Er 1.814 15.160 0.000
Er 4.748 2.660 0.000
Er 5.095 11.570 1.698

---

(2)
5
Lattice="3.752 0.000 0.000 0.000 3.752 0.000 0.000 0.000 3.592" Properties=species:S:1:pos:R:3 comment="NbCo2NiH (PBE, relaxed)" dft_energy_ev_per_atom=-6.85 polymorph_energy_mev_per_atom=0.0 n_ef_per_ev_cell=0.6 spacegroup="P4/mmm (123)" pbc="T T T"
Nb 0.000 0.000 0.000
Co 0.000 1.876 1.796
Co 1.876 0.000 1.796
Ni 1.876 1.876 0.000
H 1.876 1.876 1.796

---

(3)
24
Lattice="11.355 0.000 0.000 0.000 5.165 0.000 0.000 0.000 9.850" Properties=species:S:1:pos:R:3 comment="ErHfZr4 (PBE, relaxed)" dft_energy_ev_per_atom=-8.10 n_ef_per_ev_cell=14.3 spacegroup="Pnma (62)" pbc="T T T"
Er 2.389 1.291 0.811
Er 3.289 3.874 5.737
Er 8.067 1.291 4.114
Er 8.967 3.874 9.039
Hf 0.416 3.874 4.081
Hf 5.262 1.291 9.007
Hf 6.094 3.874 0.844
Hf 10.940 1.291 5.769
Zr 0.452 3.874 0.846
Zr 0.489 3.874 7.390
Zr 2.291 1.291 4.084
Zr 2.348 1.291 7.420
Zr 3.330 3.874 2.495
Zr 3.387 3.874 9.010
Zr 5.189 1.291 2.465
Zr 5.226 1.291 5.771
Zr 6.130 3.874 4.080
Zr 6.167 3.874 7.386
Zr 7.969 1.291 0.841
Zr 8.026 1.291 7.355
Zr 9.007 3.874 2.430
Zr 9.064 3.874 5.766
Zr 10.866 1.291 2.460
Zr 10.904 1.291 9.005

---

(4)
6
Lattice="3.220 0.000 0.000 0.000 3.220 0.000 0.000 0.000 12.890" Properties=species:S:1:pos:R:3 comment="MgTiPb (PBE, relaxed)" dft_energy_ev_per_atom=-4.24 n_ef_per_ev_cell=5.1 spacegroup="I4mm (107)" pbc="T T T"
Mg 0.000 0.000 0.000
Mg 1.610 1.610 6.445
Ti 0.000 0.000 8.398
Ti 1.610 1.610 1.953
Pb 0.000 0.000 4.063
Pb 1.610 1.610 10.507

---

(5)
8
Lattice="3.803 0.000 0.000 0.000 3.603 0.000 0.000 0.000 11.561" Properties=species:S:1:pos:R:3 comment="TbPaCoNi (PBE, relaxed)" dft_energy_ev_per_atom=-7.16 polymorph_energy_mev_per_atom=0.0 n_ef_per_ev_cell=6.5 spacegroup="Amm2 (38)" pbc="T T T"
Tb 0.000 0.000 0.000
Tb 0.000 1.801 5.780
Pa 1.902 0.000 3.076
Pa 1.902 1.801 8.856
Co 0.000 0.000 8.639
Co 0.000 1.801 2.858
Ni 1.902 0.000 6.806
Ni 1.902 1.801 1.026

---

(6)
13
Lattice="-2.626 4.702 4.690 2.626 -4.702 4.690 2.626 4.702 -4.690" Properties=species:S:1:pos:R:3 comment="ThZn5Ag7 (PBE, relaxed)" dft_energy_ev_per_atom=-2.71 n_ef_per_ev_cell=4.9 spacegroup="Imm2 (44)" pbc="T T T"
Th 0.000 0.000 0.000
Zn 1.311 2.367 2.299
Zn 1.315 -2.335 6.989
Zn 0.000 4.702 2.605
Zn 1.311 7.037 2.299
Zn 1.315 2.335 6.989
Ag 2.626 1.977 -0.064
Ag 2.626 0.000 2.031
Ag 2.626 -1.423 4.670
Ag 0.000 0.000 3.279
Ag 2.626 1.423 4.670
Ag 0.000 0.000 6.159
Ag 0.000 2.725 4.626

---

(7)
19
Lattice="7.357 -5.992 0.000 7.357 5.992 0.000 -1.872 0.000 9.089" Properties=species:S:1:pos:R:3 comment="Ac12Tb2Pr5 (PBE, relaxed)" dft_energy_ev_per_atom=-4.22 n_ef_per_ev_cell=31.1 spacegroup="C2/m (12)" pbc="T T T"
Ac 0.871 0.000 1.888
Ac 3.392 2.384 6.287
Ac 5.533 3.196 1.015
Ac 7.310 3.196 8.074
Ac 4.723 0.000 3.378
Ac 9.451 2.384 2.802
Ac 3.392 -2.384 6.287
Ac 8.120 0.000 5.711
Ac 5.533 -3.196 1.015
Ac 7.310 -3.196 8.074
Ac 9.451 -2.384 2.802
Ac 11.972 0.000 7.201
Tb 6.422 3.188 4.544
Tb 6.422 -3.188 4.544
Pr 0.737 0.000 5.529
Pr 2.112 0.000 8.823
Pr 7.357 0.000 0.000
Pr 10.731 0.000 0.266
Pr 12.107 0.000 3.560

---

(8)
5
Lattice="5.448 0.000 0.000 0.000 5.448 0.000 0.000 0.000 5.448" Properties=species:S:1:pos:R:3 comment="SmY3Os (PBE, relaxed)" dft_energy_ev_per_atom=-7.05 n_ef_per_ev_cell=7.4 spacegroup="Pm-3m (221)" pbc="T T T"
Sm 0.000 0.000 0.000
Y 0.000 2.724 2.724
Y 2.724 0.000 2.724
Y 2.724 2.724 0.000
Os 2.724 2.724 2.724